[1]
BaReNO (PBE, relaxed); mass density = 8567 kg/m³; space-group type = P4/nmm, No. 129
1.0
4.791 0.000 0.000
0.000 4.791 0.000
0.000 0.000 5.971
Ba Re N O
2 2 2 2
direct
0.250 0.750 0.000 Ba
0.750 0.250 0.000 Ba
0.250 0.250 0.486 Re
0.750 0.750 0.514 Re
0.250 0.250 0.184 N
0.750 0.750 0.816 N
0.250 0.750 0.500 O
0.750 0.250 0.500 O

=====

[2]
BaSmNO (PBE, relaxed); mass density = 7033 kg/m³; space-group type = P4/nmm, No. 129
1.0
5.233 0.000 0.000
0.000 5.233 0.000
0.000 0.000 5.479
Ba Sm N O
2 2 2 2
direct
0.250 0.250 0.003 Ba
0.750 0.750 0.997 Ba
0.250 0.750 0.500 Sm
0.750 0.250 0.500 Sm
0.250 0.250 0.503 N
0.750 0.750 0.497 N
0.250 0.750 0.000 O
0.750 0.250 0.000 O

=====

[3]
BaSmNO (PBE, relaxed); mass density = 5742 kg/m³; space-group type = Pca2_1, No. 29
1.0
6.922 0.000 0.000
0.000 8.525 0.000
0.000 0.000 6.228
Ba Sm N O
4 4 4 4
direct
0.077 0.130 0.000 Ba
0.423 0.130 0.500 Ba
0.577 0.870 0.000 Ba
0.923 0.870 0.500 Ba
0.086 0.610 0.985 Sm
0.414 0.610 0.485 Sm
0.586 0.390 0.985 Sm
0.914 0.390 0.485 Sm
0.041 0.166 0.563 N
0.459 0.166 0.063 N
0.541 0.834 0.563 N
0.959 0.834 0.063 N
0.105 0.589 0.619 O
0.395 0.589 0.119 O
0.605 0.411 0.619 O
0.895 0.411 0.119 O

=====

[4]
BaSmNO (PBE, relaxed); mass density = 7024 kg/m³; space-group type = P4/mmm, No. 123
1.0
3.702 0.000 0.000
0.000 3.702 0.000
0.000 0.000 5.482
Ba Sm N O
1 1 1 1
direct
0.000 0.000 0.000 Ba
0.500 0.500 0.500 Sm
0.000 0.000 0.500 N
0.500 0.500 0.000 O

=====

Number 1: volume 17.1 Å³/atom, energy above the most stable polymorph in this dataset 1038.5 meV per atom. Number 2: volume 18.8 Å³/atom, energy above the most stable polymorph in this dataset 202.9 meV per atom. Number 3: volume 23.0 Å³/atom, energy above the most stable polymorph in this dataset 128.8 meV per atom. Number 4: volume 18.8 Å³/atom, energy above the most stable polymorph in this dataset 207.8 meV per atom.